1.
DFT (SCAN) results for a crystal of Re2Rh3 relaxed with PBEsol.

```
Re2Rh3
1.0
-1.347 1.347 9.594
1.347 -1.347 9.594
1.347 1.347 -9.594
Re Rh
2 3
direct
0.102 0.102 0.000
0.898 0.898 0.000
0.303 0.303 0.000
0.500 0.500 0.000
0.697 0.697 0.000
```

**Energy of formation from the pure elements**: -0.12 eV/atom
**Energy relative to the lowest polymorph listed for this composition**: 3 kJ/mol of formula units
**Uncorrected energy**: -48.820 eV per atom
**Crystal system**: tetragonal
**Space group**: No. 139

***

2.
DFT (SCAN) results for a crystal of CuSCl relaxed with PBEsol.

```
CuSCl
1.0
8.234 0.000 0.000
0.000 10.846 0.000
-0.997 0.000 8.190
Cu S Cl
12 12 12
direct
0.049 0.109 0.129
0.049 0.391 0.129
0.275 0.250 0.899
0.371 0.110 0.451
0.371 0.390 0.451
0.398 0.750 0.773
0.602 0.250 0.227
0.629 0.610 0.549
0.629 0.890 0.549
0.725 0.750 0.101
0.951 0.609 0.871
0.951 0.891 0.871
0.091 0.160 0.409
0.091 0.340 0.409
0.303 0.032 0.197
0.303 0.468 0.197
0.448 0.119 0.053
0.448 0.381 0.053
0.552 0.619 0.947
0.552 0.881 0.947
0.697 0.532 0.803
0.697 0.968 0.803
0.909 0.660 0.591
0.909 0.840 0.591
0.077 0.096 0.846
0.077 0.404 0.846
0.160 0.750 0.920
0.345 0.597 0.576
0.345 0.903 0.576
0.420 0.250 0.660
0.580 0.750 0.340
0.655 0.097 0.424
0.655 0.403 0.424
0.840 0.250 0.080
0.923 0.596 0.154
0.923 0.904 0.154
```

**Uncorrected formation energy**: -0.34 eV per atom
**Uncorrected energy**: -11.276 eV per atom
**Crystal system**: monoclinic
**Space group**: No. 11

***

3.
DFT (SCAN) results for a crystal of CoTcSe2 relaxed with PBEsol.

```
CoTcSe2
1.0
3.748 0.000 0.000
0.000 3.748 0.000
-0.017 0.000 5.575
Co Tc Se
1 1 2
direct
0.000 0.000 0.000
0.500 0.500 0.000
0.001 0.500 0.260
0.499 0.000 0.740
```

**Uncorrected formation energy**: -0.22 eV per atom
**Uncorrected energy**: -23.346 eV per atom
**Crystal system**: monoclinic
**Space group**: No. 6

***

4.
DFT (SCAN) results for a crystal of AlTlSN2 relaxed with PBEsol.

```
AlTlSN2
1.0
3.769 0.000 0.000
0.000 3.769 0.000
0.000 0.000 5.247
Al Tl S N
1 1 1 2
direct
0.000 0.000 0.000
0.500 0.500 0.500
0.000 0.000 0.500
0.000 0.500 0.000
0.500 0.000 0.000
```

**Uncorrected formation energy**: 0.48 eV per atom
**Uncorrected energy**: -21.183 eV per atom
**Crystal system**: tetragonal
**Space group**: No. 123

***

5.
DFT (SCAN) results for a crystal of Ca2MgSb relaxed with PBEsol.

```
Ca2MgSb
1.0
2.250 1.299 7.885
-2.250 1.299 7.885
0.000 -2.598 7.885
Ca Mg Sb
2 1 1
direct
0.000 0.000 0.000
0.204 0.204 0.204
0.753 0.753 0.753
0.459 0.459 0.459
```

**Uncorrected formation energy**: -0.34 eV per atom
**Uncorrected energy**: -15.728 eV per atom
**Crystal system**: trigonal
**Space group**: No. 160

***

6.
DFT (SCAN) results for a crystal of ZnTe2N2 relaxed with PBEsol.

```
ZnTe2N2
1.0
4.116 0.000 0.000
0.000 4.116 0.000
0.000 0.000 5.919
Zn Te N
1 2 2
direct
0.000 0.000 0.000
0.000 0.000 0.500
0.500 0.500 0.500
0.000 0.500 0.000
0.500 0.000 0.000
```

**Uncorrected formation energy**: 1.31 eV per atom
**Uncorrected energy**: -20.010 eV per atom
**Crystal system**: tetragonal
**Space group**: No. 123

***

7.
DFT (SCAN) results for a crystal of Sr4TaIn relaxed with PBEsol.

```
Sr4TaIn
1.0
0.000 4.684 4.684
4.684 0.000 4.684
4.684 4.684 0.000
Sr Ta In
4 1 1
direct
0.125 0.125 0.125
0.125 0.125 0.624
0.125 0.624 0.125
0.624 0.125 0.125
0.500 0.500 0.500
0.750 0.750 0.750
```

**Energy of formation from the pure elements**: 0.99 eV/atom
**Uncorrected energy**: -30.523 eV per atom
**Crystal system**: cubic
**Space group**: No. 216

***

8.
DFT (SCAN) results for a crystal of TaCu2Au relaxed with PBEsol.

```
TaCu2Au
1.0
0.000 3.069 3.069
3.069 0.000 3.069
3.069 3.069 0.000
Ta Cu Au
1 2 1
direct
0.000 0.000 0.000
0.500 0.500 0.500
0.750 0.750 0.750
0.250 0.250 0.250
```

**Energy of formation from the pure elements**: 0.02 eV/atom
**Energy relative to the lowest polymorph listed for this composition**: 0 kJ/mol of formula units
**Uncorrected energy**: -41.511 eV per atom
**Crystal system**: cubic
**Space group**: No. 216

***

9.
DFT (SCAN) results for a crystal of CdSnH2S relaxed with PBEsol.

```
CdSnH2S
1.0
3.897 0.000 0.000
0.000 3.897 0.000
0.000 0.000 5.573
Cd Sn H S
1 1 2 1
direct
0.000 0.000 0.000
0.500 0.500 0.500
0.000 0.500 0.500
0.500 0.000 0.500
0.500 0.500 0.000
```

**Uncorrected energy**: -16.456 eV per atom
**Crystal system**: tetragonal
**Space group**: No. 123

***

10.
DFT (SCAN) results for a crystal of Tl2ZnH12Se2O14 relaxed with PBEsol.

```
Tl2ZnH12Se2O14
1.0
6.325 0.000 0.000
0.000 12.370 0.000
-2.232 0.000 8.887
Tl Zn H Se O
4 2 24 4 28
direct
0.166 0.160 0.359
0.166 0.340 0.859
0.834 0.660 0.141
0.834 0.840 0.641
0.500 0.000 0.000
0.500 0.500 0.500
0.164 0.555 0.603
0.164 0.945 0.103
0.172 0.640 0.473
0.172 0.860 0.973
0.181 0.087 0.790
0.181 0.413 0.290
0.406 0.126 0.752
0.406 0.374 0.252
0.422 0.597 0.227
0.422 0.903 0.727
0.498 0.689 0.352
0.498 0.811 0.852
0.502 0.189 0.148
0.502 0.311 0.648
0.578 0.097 0.273
0.578 0.403 0.773
0.594 0.626 0.748
0.594 0.874 0.248
0.819 0.587 0.710
0.819 0.913 0.210
0.828 0.140 0.027
0.828 0.360 0.527
0.836 0.055 0.897
0.836 0.445 0.397
0.226 0.635 0.908
0.226 0.865 0.408
0.774 0.135 0.592
0.774 0.365 0.092
0.068 0.742 0.916
0.068 0.758 0.416
0.094 0.557 0.766
0.094 0.943 0.266
0.208 0.563 0.505
0.208 0.937 0.005
0.264 0.563 0.065
0.264 0.937 0.565
0.333 0.113 0.835
0.333 0.387 0.335
0.465 0.677 0.879
0.465 0.823 0.379
0.472 0.113 0.174
0.472 0.387 0.674
0.528 0.613 0.326
0.528 0.887 0.826
0.535 0.177 0.621
0.535 0.323 0.121
0.667 0.613 0.665
0.667 0.887 0.165
0.736 0.063 0.435
0.736 0.437 0.935
0.792 0.063 0.995
0.792 0.437 0.495
0.906 0.057 0.734
0.906 0.443 0.234
0.932 0.242 0.584
0.932 0.258 0.084
```

**Uncorrected energy**: -11.588 eV per atom
**Crystal system**: monoclinic
**Space group**: No. 14

***

11.
DFT (SCAN) results for a crystal of KMg4Pt relaxed with PBEsol.

```
KMg4Pt
1.0
0.000 4.058 4.058
4.058 0.000 4.058
4.058 4.058 0.000
K Mg Pt
1 4 1
direct
0.000 0.000 0.000
0.377 0.377 0.377
0.377 0.377 0.870
0.377 0.870 0.377
0.870 0.377 0.377
0.750 0.750 0.750
```

**Energy of formation from the pure elements**: 0.14 eV/atom
**Uncorrected energy**: -16.262 eV per atom
**Crystal system**: cubic
**Space group**: No. 216

***

12.
DFT (SCAN) results for a crystal of LiMn2O3F relaxed with PBEsol.

```
LiMn2O3F
1.0
5.083 -3.014 0.000
5.083 3.014 0.000
-3.102 0.000 4.816
Li Mn O F
2 4 6 2
direct
0.101 0.101 0.386
0.899 0.899 0.614
0.000 0.500 0.000
0.500 0.000 0.000
0.500 0.500 0.000
0.500 0.500 0.500
0.242 0.242 0.794
0.262 0.688 0.229
0.312 0.738 0.771
0.688 0.262 0.229
0.738 0.312 0.771
0.758 0.758 0.206
0.242 0.242 0.278
0.758 0.758 0.722
```

**Energy relative to the lowest polymorph listed for this composition**: 2 kJ/mol of formula units
**Uncorrected formation energy**: -2.40 eV per atom
**Uncorrected energy**: -11.130 eV per atom
**Crystal system**: monoclinic
**Space group**: No. 12